Record 1
## Zr2BiSb (PBE)

Data for a geometry-optimized Zr2BiSb structure.

Cell and atoms, written as extended XYZ:
```
4
Lattice="3.544 0.000 0.000 0.000 3.544 0.000 0.000 0.000 7.576" Properties=species:S:1:pos:R:3 pbc="T T T"
Zr 0.000 0.000 1.721
Zr 0.000 0.000 5.855
Bi 1.772 1.772 3.788
Sb 1.772 1.772 0.000
```

Summary:
E_form (uncorrected) (eV per atom): -0.38
Symmetry: P4/mmm, No. 123
Crystal system: tetragonal
D(E_F) (states/eV per atom): 0.8423
Total moment (μB per cell): 0.00


Record 2
## K2CoOs (PBE)

Data for a geometry-optimized K2CoOs structure.

Cell and atoms, written as extended XYZ:
```
8
Lattice="20.242 0.000 0.000 0.000 2.780 0.000 -0.779 0.000 3.964" Properties=species:S:1:pos:R:3 pbc="T T T"
K 2.727 0.000 0.535
K 6.615 1.390 3.429
K 12.848 1.390 0.535
K 16.736 0.000 3.429
Co 0.000 1.390 0.000
Co 10.121 0.000 0.000
Os -0.389 0.000 1.982
Os 9.732 1.390 1.982
```

Summary:
Symmetry: C2/m, No. 12
Crystal system: monoclinic
D(E_F) (states/eV per atom): 0.9493
Formation energy from the elements (meV per atom): 836
Total moment (μB per cell): 0.45
Offset from the most stable computed form (eV per atom): 0.087


Record 3
## MnZnPb3 (PBE)

Data for a geometry-optimized MnZnPb3 structure.

Cell and atoms, written as extended XYZ:
```
5
Lattice="5.365 0.000 0.000 0.000 5.365 0.000 0.000 0.000 5.365" Properties=species:S:1:pos:R:3 pbc="T T T"
Mn 0.000 0.000 0.000
Zn 2.682 2.682 2.682
Pb 0.000 2.682 2.682
Pb 2.682 0.000 2.682
Pb 2.682 2.682 0.000
```

Summary:
Symmetry: Pm-3m, No. 221
Crystal system: cubic
D(E_F) (states/eV per atom): 0.7608
Formation energy from the elements (meV per atom): 690
Total moment (μB per cell): 4.65
Offset from the most stable computed form (eV per atom): 0.295


Record 4
## HfSnP2 (PBE)

Data for a geometry-optimized HfSnP2 structure.

Cell and atoms, written as extended XYZ:
```
12
Lattice="3.709 0.000 0.000 -1.854 3.212 0.000 0.000 0.000 21.282" Properties=species:S:1:pos:R:3 pbc="T T T"
Hf 0.000 0.000 0.000
Hf 0.000 2.141 14.188
Hf 1.854 1.071 7.094
Sn 0.000 0.000 3.490
Sn 0.000 2.141 17.678
Sn 1.854 1.071 10.584
P 0.000 0.000 8.701
P 0.000 0.000 12.709
P 0.000 2.141 1.607
P 0.000 2.141 5.615
P 1.854 1.071 15.795
P 1.854 1.071 19.803
```

Summary:
Symmetry: R3m, No. 160
Crystal system: trigonal
D(E_F) (states/eV per atom): 0.2826
Formation energy from the elements (meV per atom): -491
Total moment (μB per cell): 0.00


Record 5
## TbEr4Hg (PBE)

Data for a geometry-optimized TbEr4Hg structure.

Cell and atoms, written as extended XYZ:
```
12
Lattice="4.319 -6.909 0.000 4.319 6.909 0.000 -2.039 0.000 5.962" Properties=species:S:1:pos:R:3 pbc="T T T"
Tb 2.790 5.619 4.472
Tb 3.809 -5.619 1.491
Er 0.097 1.658 5.219
Er 2.536 2.605 2.719
Er 1.116 -1.658 2.238
Er 5.083 2.605 0.262
Er 1.516 -2.605 5.701
Er 5.483 1.658 3.724
Er 4.064 -2.605 3.243
Er 6.503 -1.658 0.743
Hg 2.790 0.008 4.472
Hg 3.809 -0.008 1.491
```

Summary:
Symmetry: C2/c, No. 15
Crystal system: monoclinic
D(E_F) (states/eV per atom): 1.3559
Formation energy from the elements (meV per atom): -43
Total moment (μB per cell): 0.00
Offset from the most stable computed form (eV per atom): 0.099


Record 6
## Tb3Er6Pu (PBE)

Data for a geometry-optimized Tb3Er6Pu structure.

Cell and atoms, written as extended XYZ:
```
10
Lattice="6.072 0.000 0.000 -1.034 5.991 0.000 -2.001 -3.427 8.383" Properties=species:S:1:pos:R:3 pbc="T T T"
Tb 0.000 0.000 0.000
Tb -0.002 2.083 6.681
Tb 3.039 0.481 1.701
Er -1.016 -1.201 5.841
Er 0.032 1.036 3.366
Er 1.006 3.258 0.866
Er 2.031 -0.694 7.517
Er 3.005 1.528 5.017
Er 4.053 3.765 2.542
Pu 2.036 -1.714 4.191
```

Summary:
Symmetry: P-1, No. 2
Crystal system: triclinic
D(E_F) (states/eV per atom): 1.9097
Formation energy from the elements (meV per atom): 44
Total moment (μB per cell): 6.73


Record 7
## Dy3USe6 (PBE)

Data for a geometry-optimized Dy3USe6 structure.

Cell and atoms, written as extended XYZ:
```
20
Lattice="5.552 -6.950 0.000 5.552 6.950 0.000 0.000 0.000 7.139" Properties=species:S:1:pos:R:3 pbc="T T T"
Dy 5.552 5.640 3.570
Dy 3.446 1.456 4.308
Dy 3.446 -1.456 0.738
Dy 7.658 1.456 4.308
Dy 7.658 -1.456 0.738
Dy 5.552 -5.640 0.000
U 5.552 2.333 0.853
U 5.552 -2.333 4.423
Se 3.653 3.740 2.365
Se 1.839 0.468 2.098
Se 1.839 -0.468 5.668
Se 5.552 3.194 5.304
Se 7.451 3.740 2.365
Se 5.552 0.115 2.712
Se 5.552 -0.115 6.281
Se 3.653 -3.740 5.935
Se 5.552 -3.194 1.734
Se 9.265 0.468 2.098
Se 9.265 -0.468 5.668
Se 7.451 -3.740 5.935
```

Summary:
E_form (uncorrected) (eV per atom): -1.57
Symmetry: Cmc2_1, No. 36
Crystal system: orthorhombic
D(E_F) (states/eV per atom): 0.5763
Total moment (μB per cell): 6.01
Offset from the most stable computed form (eV per atom): 0.111


Record 8
## LiBiH2 (PBE)

Data for a geometry-optimized LiBiH2 structure.

Cell and atoms, written as extended XYZ:
```
16
Lattice="5.907 0.000 0.000 0.000 5.907 0.000 0.000 0.000 5.907" Properties=species:S:1:pos:R:3 pbc="T T T"
Li 0.000 0.000 0.000
Li 0.000 2.953 2.953
Li 2.953 0.000 2.953
Li 2.953 2.953 0.000
Bi 0.000 0.000 2.953
Bi 0.000 2.953 0.000
Bi 2.953 0.000 0.000
Bi 2.953 2.953 2.953
H 1.477 1.477 1.477
H 1.477 1.477 4.430
H 1.477 4.430 1.477
H 1.477 4.430 4.430
H 4.430 1.477 1.477
H 4.430 1.477 4.430
H 4.430 4.430 1.477
H 4.430 4.430 4.430
```

Summary:
Symmetry: Fm-3m, No. 225
Crystal system: cubic
D(E_F) (states/eV per atom): 0.3225
Total moment (μB per cell): 0.00
Offset from the most stable computed form (eV per atom): 0.207


Record 9
## CeDy2Os2 (PBE)

Data for a geometry-optimized CeDy2Os2 structure.

Cell and atoms, written as extended XYZ:
```
10
Lattice="2.121 -5.596 0.000 2.121 5.596 0.000 0.000 0.000 10.066" Properties=species:S:1:pos:R:3 pbc="T T T"
Ce 2.121 4.057 5.033
Ce 2.121 -4.057 0.000
Dy 2.121 3.885 8.698
Dy 2.121 1.137 6.750
Dy 2.121 -1.137 1.717
Dy 2.121 -3.885 3.665
Os 2.121 1.987 1.591
Os 2.121 0.105 9.308
Os 2.121 -0.105 4.275
Os 2.121 -1.987 6.624
```

Summary:
Symmetry: Cmc2_1, No. 36
Crystal system: orthorhombic
D(E_F) (states/eV per atom): 0.5598
Formation energy from the elements (meV per atom): -169
Total moment (μB per cell): 0.00
Offset from the most stable computed form (eV per atom): 0.106


Record 10
## PaTeS4 (PBE)

Data for a geometry-optimized PaTeS4 structure.

Cell and atoms, written as extended XYZ:
```
6
Lattice="4.034 0.000 0.000 0.003 7.146 0.000 1.959 3.379 6.434" Properties=species:S:1:pos:R:3 pbc="T T T"
Pa 0.000 0.000 0.000
Te 2.684 3.572 0.000
S 2.150 5.708 5.023
S 2.009 7.931 1.504
S 3.965 2.594 4.930
S 4.227 4.817 1.411
```

Summary:
E_form (uncorrected) (eV per atom): -0.76
Symmetry: P1, No. 1
Crystal system: triclinic
D(E_F) (states/eV per atom): 0.7341
Total moment (μB per cell): 0.00
Offset from the most stable computed form (eV per atom): 0.000


Record 11
## Pr2BiSb3Rh4 (PBE)

Data for a geometry-optimized Pr2BiSb3Rh4 structure.

Cell and atoms, written as extended XYZ:
```
10
Lattice="4.563 0.000 0.000 0.000 4.563 0.000 0.000 0.000 10.737" Properties=species:S:1:pos:R:3 pbc="T T T"
Pr 0.000 2.282 2.565
Pr 2.282 0.000 8.172
Bi 0.000 0.000 5.368
Sb 0.000 2.282 9.361
Sb 2.282 0.000 1.376
Sb 2.282 2.282 5.368
Rh 0.000 0.000 0.000
Rh 0.000 2.282 6.803
Rh 2.282 0.000 3.934
Rh 2.282 2.282 0.000
```

Summary:
E_form (uncorrected) (eV per atom): -0.73
Symmetry: P-4m2, No. 115
Crystal system: tetragonal
D(E_F) (states/eV per atom): 0.8094
Total moment (μB per cell): 0.00


Record 12
## DyGePd (PBE)

Data for a geometry-optimized DyGePd structure.

Cell and atoms, written as extended XYZ:
```
12
Lattice="6.422 0.000 0.000 0.000 6.422 0.000 0.000 0.000 6.422" Properties=species:S:1:pos:R:3 pbc="T T T"
Dy 0.000 0.000 0.000
Dy 0.000 3.211 3.211
Dy 3.211 0.000 3.211
Dy 3.211 3.211 0.000
Ge 0.000 0.000 3.211
Ge 0.000 3.211 0.000
Ge 3.211 0.000 0.000
Ge 3.211 3.211 3.211
Pd 1.606 1.606 4.817
Pd 1.606 4.817 1.606
Pd 4.817 1.606 1.606
Pd 4.817 4.817 4.817
```

Summary:
Symmetry: F-43m, No. 216
Crystal system: cubic
D(E_F) (states/eV per atom): 1.6642
Formation energy from the elements (meV per atom): -764
Total moment (μB per cell): 0.00


Record 13
## Rb2NbTcP (PBE)

Data for a geometry-optimized Rb2NbTcP structure.

Cell and atoms, written as extended XYZ:
```
5
Lattice="6.922 0.000 0.000 0.000 6.922 0.000 0.000 0.000 4.491" Properties=species:S:1:pos:R:3 pbc="T T T"
Rb 0.000 3.461 0.000
Rb 3.461 0.000 0.000
Nb 0.000 0.000 0.000
Tc 0.000 0.000 2.245
P 3.461 3.461 2.245
```

Summary:
Symmetry: P4/mmm, No. 123
Crystal system: tetragonal
D(E_F) (states/eV per atom): 0.9120
Formation energy from the elements (meV per atom): 1620
Total moment (μB per cell): 1.75
Offset from the most stable computed form (eV per atom): 0.000


Record 14
## Nd2Dy12Y (PBE)

Data for a geometry-optimized Nd2Dy12Y structure.

Cell and atoms, written as extended XYZ:
```
15
Lattice="3.553 0.000 0.000 0.000 5.618 0.000 -1.766 0.000 24.422" Properties=species:S:1:pos:R:3 pbc="T T T"
Nd -0.003 0.000 6.654
Nd 1.790 0.000 17.768
Dy -0.007 2.809 1.801
Dy 0.008 2.809 10.871
Dy 0.003 0.000 13.967
Dy 0.014 2.809 16.343
Dy 0.015 2.809 19.530
Dy 0.014 0.000 21.108
Dy 1.772 0.000 3.314
Dy 1.772 2.809 4.892
Dy 1.773 2.809 8.079
Dy 1.783 0.000 10.455
Dy 1.779 2.809 13.551
Dy 1.793 2.809 22.621
Y 1.776 0.000 0.000
```

Summary:
Symmetry: P2/m, No. 10
Crystal system: monoclinic
D(E_F) (states/eV per atom): 1.5329
Formation energy from the elements (meV per atom): 112
Total moment (μB per cell): 0.00


Record 15
## NaP2WCl (PBE)

Data for a geometry-optimized NaP2WCl structure.

Cell and atoms, written as extended XYZ:
```
5
Lattice="4.662 0.000 0.000 0.000 4.662 0.000 0.000 0.000 5.285" Properties=species:S:1:pos:R:3 pbc="T T T"
Na 0.000 0.000 0.000
P 0.000 2.331 2.642
P 2.331 0.000 2.642
W 2.331 2.331 2.642
Cl 2.331 2.331 0.000
```

Summary:
E_form (uncorrected) (eV per atom): -0.10
Symmetry: P4/mmm, No. 123
Crystal system: tetragonal
D(E_F) (states/eV per atom): 0.8010
Total moment (μB per cell): 0.01
Offset from the most stable computed form (eV per atom): 0.000


Record 16
## CeNd3 (PBE)

Data for a geometry-optimized CeNd3 structure.

Cell and atoms, written as extended XYZ:
```
8
Lattice="3.638 0.000 0.000 0.000 11.876 0.000 0.000 0.000 6.371" Properties=species:S:1:pos:R:3 pbc="T T T"
Ce 0.000 0.000 0.000
Ce 1.819 5.938 3.186
Nd 0.000 2.987 2.102
Nd 0.000 5.938 0.018
Nd 0.000 8.889 2.102
Nd 1.819 0.000 3.204
Nd 1.819 2.951 5.287
Nd 1.819 8.925 5.287
```

Summary:
Symmetry: Imm2, No. 44
Crystal system: orthorhombic
D(E_F) (states/eV per atom): 2.3663
Formation energy from the elements (meV per atom): 96
Total moment (μB per cell): 2.33
Offset from the most stable computed form (eV per atom): 0.014


Record 17
## Ac4TlHgAu2 (PBE)

Data for a geometry-optimized Ac4TlHgAu2 structure.

Cell and atoms, written as extended XYZ:
```
8
Lattice="2.821 1.629 9.288 -2.821 1.629 9.288 0.000 -3.258 9.288" Properties=species:S:1:pos:R:3 pbc="T T T"
Ac 0.000 0.000 3.422
Ac 0.000 0.000 10.400
Ac 0.000 0.000 17.463
Ac 0.000 0.000 24.441
Tl 0.000 0.000 13.932
Hg 0.000 0.000 0.000
Au 0.000 0.000 6.969
Au 0.000 0.000 20.895
```

Summary:
Symmetry: R-3m, No. 166
Crystal system: trigonal
D(E_F) (states/eV per atom): 0.7917
Formation energy from the elements (meV per atom): -572
Total moment (μB per cell): 0.00


Record 18
## SnGe3As (PBE)

Data for a geometry-optimized SnGe3As structure.

Cell and atoms, written as extended XYZ:
```
5
Lattice="5.050 0.000 0.000 0.000 5.050 0.000 0.000 0.000 5.050" Properties=species:S:1:pos:R:3 pbc="T T T"
Sn 0.000 0.000 0.000
Ge 0.000 2.525 2.525
Ge 2.525 0.000 2.525
Ge 2.525 2.525 0.000
As 2.525 2.525 2.525
```

Summary:
Symmetry: Pm-3m, No. 221
Crystal system: cubic
D(E_F) (states/eV per atom): 0.7400
Formation energy from the elements (meV per atom): 606
Total moment (μB per cell): 0.00
Offset from the most stable computed form (eV per atom): 0.000


Record 19
## CeMnCl5 (PBE)

Data for a geometry-optimized CeMnCl5 structure.

Cell and atoms, written as extended XYZ:
```
14
Lattice="5.671 -4.144 0.000 5.671 4.144 0.000 -3.912 0.000 8.632" Properties=species:S:1:pos:R:3 pbc="T T T"
Ce 2.737 3.648 6.474
Ce 4.693 -3.648 2.158
Mn 5.671 0.000 0.000
Mn 3.715 0.000 4.316
Cl 5.325 2.542 0.285
Cl 4.061 2.542 4.031
Cl 1.494 0.277 3.209
Cl -0.462 -0.277 7.525
Cl 2.737 0.769 6.474
Cl 4.693 -0.769 2.158
Cl 7.892 0.277 1.107
Cl 5.936 -0.277 5.423
Cl 3.369 -2.542 4.601
Cl 2.105 -2.542 8.347
```

Summary:
E_form (uncorrected) (eV per atom): -1.68
Symmetry: C2/c, No. 15
Crystal system: monoclinic
D(E_F) (states/eV per atom): 1.0442
Total moment (μB per cell): 12.00
Offset from the most stable computed form (eV per atom): 0.017


Record 20
## Pm3SnH (PBE)

Data for a geometry-optimized Pm3SnH structure.

Cell and atoms, written as extended XYZ:
```
20
Lattice="6.415 0.000 0.000 0.000 6.790 0.000 0.000 0.000 11.543" Properties=species:S:1:pos:R:3 pbc="T T T"
Pm 0.927 0.042 2.334
Pm 0.927 3.354 2.334
Pm 1.018 1.698 5.427
Pm 2.189 5.093 11.198
Pm 2.281 3.437 8.105
Pm 2.281 6.749 8.105
Pm 4.134 0.042 3.437
Pm 4.134 3.354 3.437
Pm 4.225 1.698 0.344
Pm 5.397 5.093 6.116
Pm 5.488 3.437 9.209
Pm 5.488 6.749 9.209
Sn 1.228 1.698 10.862
Sn 1.979 5.093 5.091
Sn 4.436 1.698 6.452
Sn 5.187 5.093 0.681
H 0.889 5.093 9.256
H 2.318 1.698 3.484
H 4.097 5.093 8.058
H 5.526 1.698 2.287
```

Summary:
Symmetry: Pnma, No. 62
Crystal system: orthorhombic
D(E_F) (states/eV per atom): 0.6611
Total moment (μB per cell): 0.00
Offset from the most stable computed form (eV per atom): 0.032